First-principles (GGA-PBE) data for a geometry-optimized Mn2ReHg structure, as listed in Alexandria via LeMat-Bulk.

Cell and atoms, written as CIF:
```
data_Mn2ReHg
_chemical_formula_sum 'Mn4 Re2 Hg2'
_space_group_name_H-M_alt 'I 4/m m m'
_space_group_IT_number 139
_space_group_name_Hall '-I 4 2'
_cell_length_a 3.993
_cell_length_b 3.993
_cell_length_c 7.391
_cell_angle_alpha 90.00
_cell_angle_beta 90.00
_cell_angle_gamma 90.00
loop_
_atom_site_label
_atom_site_fract_x
_atom_site_fract_y
_atom_site_fract_z
Mn1 0.000 0.500 0.250
Re1 0.000 0.000 0.000
Hg1 0.000 0.000 0.500
```

Calculated values
ΔH_f (0 K) (eV per atom): 0.50
Electronic total energy (Ry per atom): -0.534
Total magnetization (μB per formula unit): 4.11